VASP calculation (PBE) on crystalline GdYMnAg at its relaxed geometry.

## Properties
**Space group**: F-43m, No. 216
**Calculated density**: 7.11 Mg/m³
**Calculated formation energy**: 23 meV/atom

a = 5.1297 Å, b = 5.1297 Å, c = 5.1297 Å
α = 60.00°, β = 60.00°, γ = 60.00°
Fractional positions:
Gd (0.0000, 0.0000, 0.0000)
Y (0.5000, 0.5000, 0.5000)
Mn (0.2500, 0.2500, 0.2500)
Ag (0.7500, 0.7500, 0.7500)



VASP calculation (PBE) on crystalline Gd3AgN at its relaxed geometry.

## Properties
**Space group**: Pm-3m, No. 221
**Calculated density**: 8.57 Mg/m³
**Raw formation energy**: -0.72 eV/atom

a = 4.8628 Å, b = 4.8628 Å, c = 4.8628 Å
α = 90.00°, β = 90.00°, γ = 90.00°
Fractional positions:
Gd (0.0000, 0.0000, 0.5000)
Gd (0.0000, 0.5000, 0.0000)
Gd (0.5000, 0.0000, 0.0000)
Ag (0.5000, 0.5000, 0.5000)
N (0.0000, 0.0000, 0.0000)



VASP calculation (PBE) on crystalline NaGdAg2 at its relaxed geometry.

## Properties
**Space group**: Fm-3m, No. 225
**Calculated density**: 6.97 Mg/m³
**Calculated formation energy**: -104 meV/atom
**Energy above the most stable polymorph in this dataset**: 0.09 eV per formula unit

a = 5.1089 Å, b = 5.1089 Å, c = 5.1089 Å
α = 60.00°, β = 60.00°, γ = 60.00°
Fractional positions:
Na (0.0000, 0.0000, 0.0000)
Gd (0.5000, 0.5000, 0.5000)
Ag (0.2500, 0.2500, 0.2500)
Ag (0.7500, 0.7500, 0.7500)



VASP calculation (PBE) on crystalline NaGdAg4 at its relaxed geometry.

## Properties
**Space group**: F-43m, No. 216
**Calculated density**: 7.81 Mg/m³
**Calculated formation energy**: -111 meV/atom

a = 5.6868 Å, b = 5.6868 Å, c = 5.6868 Å
α = 60.00°, β = 60.00°, γ = 60.00°
Fractional positions:
Na (0.0000, 0.0000, 0.0000)
Gd (0.7500, 0.7500, 0.7500)
Ag (0.3746, 0.3746, 0.3746)
Ag (0.3746, 0.3746, 0.8762)
Ag (0.3746, 0.8762, 0.3746)
Ag (0.8762, 0.3746, 0.3746)



VASP calculation (PBE) on crystalline NaGdAg at its relaxed geometry.

## Properties
**Space group**: I4mm, No. 107
**Calculated density**: 5.74 Mg/m³
**Calculated formation energy**: 14 meV/atom

a = 7.2060 Å, b = 7.2060 Å, c = 7.2060 Å
α = 151.82°, β = 151.82°, γ = 40.28°
Fractional positions:
Na (0.0000, 0.0000, 0.0000)
Gd (0.2826, 0.2826, 0.0000)
Ag (0.6456, 0.6456, 0.0000)



VASP calculation (PBE) on crystalline NaGd2Ag at its relaxed geometry.

## Properties
**Space group**: P4/mmm, No. 123
**Calculated density**: 6.17 Mg/m³
**Calculated formation energy**: 9 meV/atom
**Energy above the most stable polymorph in this dataset**: 0.00 eV per formula unit

a = 3.5617 Å, b = 3.5617 Å, c = 9.4488 Å
α = 90.00°, β = 90.00°, γ = 90.00°
Fractional positions:
Na (0.0000, 0.0000, 0.0000)
Gd (0.5000, 0.5000, 0.3029)
Gd (0.5000, 0.5000, 0.6971)
Ag (0.0000, 0.0000, 0.5000)



Question: calculated density of number 5 (NaGdAg)?
Answer: 5.74 Mg/m³